Entry 1:
Y2HoPu: relaxed, PBE.

Structure (extended XYZ):
```
4
Lattice="-2.207 -0.210 -2.714 -1.105 -3.124 1.141 -7.125 4.511 5.447" Properties=species:S:1:pos:R:3 pbc="T T T"
Y -1.809 1.145 1.383
Y -5.316 3.365 4.064
Pu -5.219 0.588 1.937
Ho -1.656 -1.667 -0.786
```

theoretical density	7.90	Mg/m³
SG	No. 123
ΔH_f (0 K)	0.110	eV/atom

---

Entry 2:
Y2HoPu: relaxed, PBE.

Structure (extended XYZ):
```
4
Lattice="-0.763 -3.220 4.517 1.534 -5.384 -0.108 4.410 -1.715 2.994" Properties=species:S:1:pos:R:3 pbc="T T T"
Y 3.886 -7.738 5.552
Y 1.295 -2.579 1.851
Pu 2.590 -5.159 3.701
Ho 0.000 0.000 0.000
```

theoretical density	7.85	Mg/m³
SG	No. 225
ΔH_f (0 K)	0.200	eV/atom

---

Entry 3:
Y2HoPu: relaxed, PBE.

Structure (extended XYZ):
```
4
Lattice="3.551 0.000 0.000 1.776 3.075 0.000 1.776 1.025 11.369" Properties=species:S:1:pos:R:3 pbc="T T T"
Pu 3.551 2.050 0.016
Ho 3.551 2.050 5.670
Y 1.776 1.025 8.551
Y 1.776 1.025 2.818
```

theoretical density	7.85	Mg/m³
SG	No. 160
ΔH_f (0 K)	0.098	eV/atom

---

Entry 4:
YHo2Pu: relaxed, PBE.

Structure (extended XYZ):
```
4
Lattice="-0.162 1.404 -3.194 3.177 -1.261 -0.715 -4.115 -8.395 -3.480" Properties=species:S:1:pos:R:3 pbc="T T T"
Ho -1.056 -2.155 -0.894
Ho -3.059 -6.240 -2.587
Pu -0.550 -4.126 -3.695
Y 1.508 0.071 -1.955
```

theoretical density	9.05	Mg/m³
SG	No. 123
ΔH_f (0 K)	0.097	eV/atom

---

Entry 5:
Y2HoPu: relaxed, PBE.

Structure (extended XYZ):
```
4
Lattice="5.002 0.000 0.000 0.000 4.969 0.000 0.000 0.000 4.969" Properties=species:S:1:pos:R:3 pbc="T T T"
Y 0.000 2.485 0.000
Y 0.000 0.000 2.485
Pu 2.501 2.485 2.485
Ho 2.501 0.000 0.000
```

theoretical density	7.89	Mg/m³
SG	No. 123
ΔH_f (0 K)	0.152	eV/atom

---

Entry 6:
Y2Ho6Pu: relaxed, PBE.

Structure (extended XYZ):
```
18
Lattice="8.196 0.000 0.000 0.000 6.281 -0.793 0.000 1.229 10.889" Properties=species:S:1:pos:R:3 pbc="T T T"
Ho 6.670 3.177 5.217
Ho 5.625 5.703 -0.624
Ho 2.571 1.806 10.720
Ho 4.991 2.356 7.982
Ho 2.898 1.511 5.406
Ho 5.298 5.999 4.691
Ho 1.527 4.333 4.879
Ho 0.893 2.628 7.955
Ho 1.200 4.037 -0.436
Ho 3.206 5.154 2.114
Ho 7.304 4.882 2.141
Ho 6.996 3.473 10.532
Y 0.864 1.849 2.442
Y 7.333 5.661 7.654
Y 4.962 1.906 2.606
Y 3.235 5.604 7.490
Pu 4.098 3.141 -0.397
Pu 0.000 0.614 5.445
```

theoretical density	8.24	Mg/m³
SG	No. 14
ΔH_f (0 K)	0.256	eV/atom

---

Entry 7:
Y14HoPu: relaxed, PBE.

Structure (extended XYZ):
```
16
Lattice="-3.929 -5.182 -2.927 3.888 -4.891 3.437 -6.336 0.419 7.764" Properties=species:S:1:pos:R:3 pbc="T T T"
Y 1.335 -4.824 4.550
Y -3.804 -2.180 6.769
Y -0.598 -2.392 2.842
Y -5.757 -4.757 5.314
Y -3.824 -7.189 7.023
Y -0.619 -7.401 3.096
Y -2.552 -4.969 1.387
Y -2.210 -4.790 4.934
Y -0.987 -2.555 -0.668
Y -1.008 -7.591 -0.413
Y -1.871 -4.612 8.479
Y -6.121 -4.936 1.750
Y -4.176 -7.381 3.469
Y -4.155 -2.346 3.214
Pu 0.956 -5.000 1.050
Ho -2.951 -5.146 -2.131
```

theoretical density	5.38	Mg/m³
SG	No. 123
ΔH_f (0 K)	0.046	eV/atom

---

Entry 8:
Y12Ho6Pu: relaxed, PBE.

Structure (extended XYZ):
```
19
Lattice="-7.700 1.037 -5.273 6.950 -3.922 -4.949 -1.869 -5.017 7.714" Properties=species:S:1:pos:R:3 pbc="T T T"
Y 2.907 -4.102 -0.312
Y -5.526 -3.800 -2.196
Y -6.360 -4.644 1.161
Y -1.516 -3.697 -6.885
Y -3.563 -2.768 2.242
Y 2.632 -7.480 0.704
Y -2.004 -1.153 -4.476
Y 0.944 -5.134 -4.749
Y -0.615 -6.749 1.969
Y 3.741 -3.258 -3.668
Y -5.251 -0.422 -3.211
Y -1.104 -4.205 4.378
Ho -3.076 -5.334 -0.146
Ho -0.312 -3.369 0.966
Ho 0.457 -2.568 -2.361
Ho -2.746 -1.908 -1.094
Ho 0.127 -5.994 -1.413
Ho -2.307 -4.533 -3.473
Pu 0.000 0.000 0.000
```

theoretical density	6.36	Mg/m³
SG	No. 148
ΔH_f (0 K)	0.038	eV/atom

---

Entry 9:
HoPu3Zn8: relaxed, PBE.

Structure (extended XYZ):
```
12
Lattice="-4.937 0.510 -2.432 0.329 -0.624 5.482 0.417 8.553 0.948" Properties=species:S:1:pos:R:3 pbc="T T T"
Zn -1.999 6.345 2.224
Zn -0.609 2.025 1.662
Zn -1.010 8.297 3.791
Zn -0.445 1.713 4.400
Zn -2.911 1.968 3.185
Zn -4.448 6.598 1.018
Zn -1.218 4.029 3.318
Zn -2.162 6.654 -0.495
Pu -4.212 8.014 3.951
Pu -3.157 0.635 0.262
Pu -3.003 3.800 0.613
Ho -4.372 4.720 3.586
```

theoretical density	10.35	Mg/m³
SG	No. 156
ΔH_f (0 K)	-0.179	eV/atom

---

Entry 10:
HoPuZn4: relaxed, PBE.

Structure (extended XYZ):
```
6
Lattice="5.456 0.000 0.000 2.728 4.725 0.000 2.728 1.575 4.454" Properties=species:S:1:pos:R:3 pbc="T T T"
Zn 5.456 1.573 2.785
Zn 4.090 3.938 2.785
Zn 6.821 3.938 2.785
Zn 5.456 3.150 0.554
Ho 0.000 0.000 0.000
Pu 2.728 1.575 1.114
```

theoretical density	9.70	Mg/m³
SG	No. 216
ΔH_f (0 K)	-0.222	eV/atom

---

Entry 11:
HoPu2Zn: relaxed, PBE.

Structure (extended XYZ):
```
4
Lattice="-0.138 -2.339 2.357 -0.417 -2.328 -2.335 9.212 -1.097 -0.550" Properties=species:S:1:pos:R:3 pbc="T T T"
Pu 2.005 -0.239 -0.120
Pu 7.206 -0.858 -0.430
Zn -0.277 -2.334 0.011
Ho 4.329 -2.882 -0.264
```

theoretical density	11.62	Mg/m³
SG	No. 123
ΔH_f (0 K)	0.100	eV/atom

---

Entry 12:
HoPuZn2: relaxed, PBE.

Structure (extended XYZ):
```
4
Lattice="5.035 0.000 0.000 2.517 4.360 0.000 2.517 1.453 4.111" Properties=species:S:1:pos:R:3 pbc="T T T"
Pu 0.000 0.000 0.000
Zn 2.517 1.453 1.028
Zn 7.552 4.360 3.083
Ho 5.035 2.907 2.056
```

theoretical density	9.93	Mg/m³
SG	No. 225
ΔH_f (0 K)	-0.179	eV/atom

---

no.,total magnetization (μB/f.u.)
1,6.20
2,7.00
3,5.88
4,6.14
5,6.32
6,6.25
7,6.11
8,6.38
9,5.88
10,5.40
11,11.80
12,6.22